(1)
Entry from OQMD via LeMat-Bulk: a relaxed CuNiPbSe3 crystal (PBE-GGA).

a = 6.8266 Å, b = 6.8266 Å, c = 9.8811 Å
α = 90.00°, β = 90.00°, γ = 147.78°
Closest atoms and distances in Å follow each position.
Element x y z (fractional)
Cu 0.0432 0.9568 0.7500  4 Se 2.40-2.41
Cu 0.9568 0.0432 0.2500  4 Se 2.40-2.41
Ni 0.5000 0.5000 0.0000  6 Se 2.51-2.64
Ni 0.5000 0.5000 0.5000  6 Se 2.51-2.64
Pb 0.2597 0.7403 0.2500  8 Se 3.12-3.31, 2 Cu 3.21
Pb 0.7403 0.2597 0.7500  8 Se 3.12-3.31, 2 Cu 3.21
Se 0.1228 0.8772 0.5310  1 Cu 2.40, 2 Ni 2.51
Se 0.1228 0.8772 0.9690  1 Cu 2.40, 2 Ni 2.51
Se 0.4290 0.5710 0.7500  2 Cu 2.41, 2 Ni 2.64
Se 0.5710 0.4290 0.2500  2 Cu 2.41, 2 Ni 2.64
Se 0.8772 0.1228 0.0310  1 Cu 2.40, 2 Ni 2.51
Se 0.8772 0.1228 0.4690  1 Cu 2.40, 2 Ni 2.51

Summary:
Total energy ... -4.10 eV per atom



(2)
Entry from OQMD via LeMat-Bulk: a relaxed Sr2CuNiPb4 crystal (PBE-GGA).

a = 4.8044 Å, b = 10.1059 Å, c = 10.1059 Å
α = 27.17°, β = 90.00°, γ = 90.00°
Closest atoms and distances in Å follow each position.
Element x y z (fractional)
Sr 0.0000 0.0000 0.0000  4 Cu 3.61, 10 Pb 3.63-3.96
Sr 0.5000 0.2194 0.2194  10 Pb 3.57-3.80, 4 Ni 3.67
Cu 0.5000 0.4347 0.4347  5 Pb 2.62-2.82
Ni 0.0000 0.7923 0.7923  5 Pb 2.58-2.72
Pb 0.0000 0.3594 0.3594  2 Ni 2.72, 2 Cu 2.82
Pb 0.0000 0.6611 0.6611  1 Ni 2.58
Pb 0.5000 0.5682 0.5682  1 Cu 2.62
Pb 0.5000 0.8571 0.8571  2 Ni 2.72, 2 Cu 2.82

Summary:
Total energy ... -3.68 eV per atom



(3)
Entry from OQMD via LeMat-Bulk: a relaxed YCuNiPb crystal (PBE-GGA).

a = 4.7522 Å, b = 4.7522 Å, c = 4.7522 Å
α = 60.00°, β = 60.00°, γ = 60.00°
Closest atoms and distances in Å follow each position.
Element x y z (fractional)
Y 0.0000 0.0000 0.0000  4 Pb 2.91, 4 Cu 2.91
Cu 0.2500 0.2500 0.2500  4 Ni 2.91, 4 Y 2.91
Ni 0.5000 0.5000 0.5000  4 Pb 2.91, 4 Cu 2.91
Pb 0.7500 0.7500 0.7500  4 Ni 2.91, 4 Y 2.91

Summary:
ΔE to the lowest computed polymorph ... 0.1949 eV per atom
Total energy ... -4.90 eV per atom



(4)
Entry from OQMD via LeMat-Bulk: a relaxed YCuNiPb crystal (PBE-GGA).

a = 4.7817 Å, b = 4.7817 Å, c = 4.7817 Å
α = 60.00°, β = 60.00°, γ = 60.00°
Closest atoms and distances in Å follow each position.
Element x y z (fractional)
Y 0.0000 0.0000 0.0000  4 Pb 2.93, 4 Ni 2.93
Cu 0.5000 0.5000 0.5000  4 Pb 2.93, 4 Ni 2.93
Ni 0.7500 0.7500 0.7500  4 Cu 2.93, 4 Y 2.93
Pb 0.2500 0.2500 0.2500  4 Cu 2.93, 4 Y 2.93

Summary:
ΔE to the lowest computed polymorph ... 0.2506 eV per atom
Total energy ... -4.85 eV per atom



(5)
Entry from OQMD via LeMat-Bulk: a relaxed YCuNiPb crystal (PBE-GGA).

a = 4.7024 Å, b = 4.7024 Å, c = 4.7024 Å
α = 60.00°, β = 60.00°, γ = 60.00°
Closest atoms and distances in Å follow each position.
Element x y z (fractional)
Y 0.0000 0.0000 0.0000  4 Ni 2.88, 4 Cu 2.88
Cu 0.2500 0.2500 0.2500  4 Pb 2.88, 4 Y 2.88
Ni 0.7500 0.7500 0.7500  4 Pb 2.88, 4 Y 2.88
Pb 0.5000 0.5000 0.5000  4 Ni 2.88, 4 Cu 2.88

Summary:
ΔE to the lowest computed polymorph ... 0.0000 eV per atom
Total energy ... -5.10 eV per atom



(6)
Entry from OQMD via LeMat-Bulk: a relaxed ZnCuNiPb crystal (PBE-GGA).

a = 4.4539 Å, b = 4.4539 Å, c = 4.4539 Å
α = 60.00°, β = 60.00°, γ = 60.00°
Closest atoms and distances in Å follow each position.
Element x y z (fractional)
Zn 0.0000 0.0000 0.0000  4 Ni 2.73, 4 Cu 2.73
Cu 0.7500 0.7500 0.7500  4 Pb 2.73, 4 Zn 2.73
Ni 0.2500 0.2500 0.2500  4 Pb 2.73, 4 Zn 2.73
Pb 0.5000 0.5000 0.5000  4 Cu 2.73, 4 Ni 2.73

Summary:
ΔE to the lowest computed polymorph ... 0.0000 eV per atom
Total energy ... -3.39 eV per atom



(7)
Entry from OQMD via LeMat-Bulk: a relaxed ZnCuNiPb crystal (PBE-GGA).

a = 4.4833 Å, b = 4.4833 Å, c = 4.4833 Å
α = 60.00°, β = 60.00°, γ = 60.00°
Closest atoms and distances in Å follow each position.
Element x y z (fractional)
Zn 0.0000 0.0000 0.0000  4 Pb 2.75, 4 Cu 2.75
Cu 0.7500 0.7500 0.7500  4 Ni 2.75, 4 Zn 2.75
Ni 0.5000 0.5000 0.5000  4 Pb 2.75, 4 Cu 2.75
Pb 0.2500 0.2500 0.2500  4 Ni 2.75, 4 Zn 2.75

Summary:
ΔE to the lowest computed polymorph ... 0.0956 eV per atom
Total energy ... -3.30 eV per atom



(8)
Entry from OQMD via LeMat-Bulk: a relaxed Cu2NiPd crystal (PBE-GGA).

a = 4.1397 Å, b = 4.1397 Å, c = 4.1397 Å
α = 60.00°, β = 60.00°, γ = 60.00°
Closest atoms and distances in Å follow each position.
Element x y z (fractional)
Cu 0.0000 0.0000 0.0000  4 Ni 2.54, 4 Cu 2.54
Cu 0.2500 0.2500 0.2500  4 Cu 2.54, 4 Pd 2.54
Ni 0.7500 0.7500 0.7500  4 Cu 2.54, 4 Pd 2.54
Pd 0.5000 0.5000 0.5000  4 Ni 2.54, 4 Cu 2.54

Summary:
Total energy ... -4.52 eV per atom
Calculated formation energy ... 0.02 eV per atom



(9)
Entry from OQMD via LeMat-Bulk: a relaxed CuNiSbPd crystal (PBE-GGA).

a = 4.3747 Å, b = 4.3747 Å, c = 4.3747 Å
α = 60.00°, β = 60.00°, γ = 60.00°
Closest atoms and distances in Å follow each position.
Element x y z (fractional)
Cu 0.0000 0.0000 0.0000  4 Sb 2.68, 4 Pd 2.68
Ni 0.5000 0.5000 0.5000  4 Sb 2.68, 4 Pd 2.68
Sb 0.7500 0.7500 0.7500  4 Cu 2.68, 4 Ni 2.68
Pd 0.2500 0.2500 0.2500  4 Ni 2.68, 4 Cu 2.68

Summary:
ΔE to the lowest computed polymorph ... 0.0000 eV per atom
Total energy ... -4.77 eV per atom



(10)
Entry from OQMD via LeMat-Bulk: a relaxed CuSiNiPd crystal (PBE-GGA).

a = 4.1395 Å, b = 4.1395 Å, c = 4.1395 Å
α = 60.00°, β = 60.00°, γ = 60.00°
Closest atoms and distances in Å follow each position.
Element x y z (fractional)
Cu 0.0000 0.0000 0.0000  4 Ni 2.53, 4 Si 2.53
Si 0.7500 0.7500 0.7500  4 Pd 2.53, 4 Cu 2.53
Ni 0.2500 0.2500 0.2500  4 Cu 2.53, 4 Pd 2.53
Pd 0.5000 0.5000 0.5000  4 Ni 2.53, 4 Si 2.53

Summary:
ΔE to the lowest computed polymorph ... 0.0000 eV per atom
Total energy ... -5.18 eV per atom



(11)
Entry from OQMD via LeMat-Bulk: a relaxed CuSiNiPd crystal (PBE-GGA).

a = 4.1396 Å, b = 4.1396 Å, c = 4.1396 Å
α = 60.00°, β = 60.00°, γ = 60.00°
Closest atoms and distances in Å follow each position.
Element x y z (fractional)
Cu 0.0000 0.0000 0.0000  4 Si 2.53, 4 Pd 2.53
Si 0.7500 0.7500 0.7500  4 Ni 2.53, 4 Cu 2.53
Ni 0.5000 0.5000 0.5000  4 Pd 2.53, 4 Si 2.53
Pd 0.2500 0.2500 0.2500  4 Ni 2.53, 4 Cu 2.53

Summary:
ΔE to the lowest computed polymorph ... 0.0112 eV per atom
Total energy ... -5.17 eV per atom



(12)
Entry from OQMD via LeMat-Bulk: a relaxed ZnCuNiPd crystal (PBE-GGA).

a = 4.1904 Å, b = 4.1904 Å, c = 4.1904 Å
α = 60.00°, β = 60.00°, γ = 60.00°
Closest atoms and distances in Å follow each position.
Element x y z (fractional)
Zn 0.0000 0.0000 0.0000  4 Ni 2.57, 4 Cu 2.57
Cu 0.2500 0.2500 0.2500  4 Pd 2.57, 4 Zn 2.57
Ni 0.7500 0.7500 0.7500  4 Zn 2.57, 4 Pd 2.57
Pd 0.5000 0.5000 0.5000  4 Ni 2.57, 4 Cu 2.57

Summary:
ΔE to the lowest computed polymorph ... 0.0113 eV per atom
Total energy ... -4.08 eV per atom
Calculated formation energy ... -0.15 eV per atom



(13)
Entry from OQMD via LeMat-Bulk: a relaxed ZnCuNiPd crystal (PBE-GGA).

a = 4.1858 Å, b = 4.1858 Å, c = 4.1858 Å
α = 60.00°, β = 60.00°, γ = 60.00°
Closest atoms and distances in Å follow each position.
Element x y z (fractional)
Zn 0.0000 0.0000 0.0000  4 Cu 2.56, 4 Pd 2.56
Cu 0.2500 0.2500 0.2500  4 Ni 2.56, 4 Zn 2.56
Ni 0.5000 0.5000 0.5000  4 Cu 2.56, 4 Pd 2.56
Pd 0.7500 0.7500 0.7500  4 Ni 2.56, 4 Zn 2.56

Summary:
ΔE to the lowest computed polymorph ... 0.0000 eV per atom
Total energy ... -4.09 eV per atom
Calculated formation energy ... -0.16 eV per atom



(14)
Entry from OQMD via LeMat-Bulk: a relaxed Pm2Cu5Ni5 crystal (PBE-GGA).

a = 4.0436 Å, b = 4.9772 Å, c = 8.6003 Å
α = 90.00°, β = 90.00°, γ = 90.00°
Closest atoms and distances in Å follow each position.
Element x y z (fractional)
Pm 0.0000 0.0000 0.0000  6 Ni 2.85-2.88
Pm 0.0000 0.5000 0.5000  6 Ni 2.87-2.91, 12 Cu 3.21
Cu 0.5000 0.0000 0.5000  4 Ni 2.47, 4 Cu 2.50
Cu 0.5000 0.2507 0.2488  5 Ni 2.47-2.49, 3 Cu 2.48-2.50
Cu 0.5000 0.2507 0.7512  5 Ni 2.47-2.49, 3 Cu 2.48-2.50
Cu 0.5000 0.7493 0.2488  5 Ni 2.47-2.49, 3 Cu 2.48-2.50
Cu 0.5000 0.7493 0.7512  5 Ni 2.47-2.49, 3 Cu 2.48-2.50
Ni 0.0000 0.0000 0.3349  6 Cu 2.47-2.49
Ni 0.0000 0.0000 0.6651  6 Cu 2.47-2.49
Ni 0.0000 0.5000 0.1619  2 Ni 2.45, 4 Cu 2.49
Ni 0.0000 0.5000 0.8381  2 Ni 2.45, 4 Cu 2.49
Ni 0.5000 0.5000 0.0000  4 Ni 2.45, 4 Cu 2.47

Summary:
Total energy ... -4.92 eV per atom
Calculated formation energy ... -0.26 eV per atom



(15)
Entry from OQMD via LeMat-Bulk: a relaxed PmCuNi crystal (PBE-GGA).

a = 4.3964 Å, b = 4.3964 Å, c = 4.3964 Å
α = 60.00°, β = 60.00°, γ = 60.00°
Closest atoms and distances in Å follow each position.
Element x y z (fractional)
Pm 0.0000 0.0000 0.0000  4 Cu 2.69
Cu 0.7500 0.7500 0.7500  4 Ni 2.69, 4 Pm 2.69
Ni 0.5000 0.5000 0.5000  4 Cu 2.69

Summary:
ΔE to the lowest computed polymorph ... 0.0000 eV per atom
Total energy ... -4.62 eV per atom
Calculated formation energy ... 0.06 eV per atom



(16)
Entry from OQMD via LeMat-Bulk: a relaxed PmCuNi crystal (PBE-GGA).

a = 4.5514 Å, b = 4.5514 Å, c = 4.5514 Å
α = 60.00°, β = 60.00°, γ = 60.00°
Closest atoms and distances in Å follow each position.
Element x y z (fractional)
Pm 0.0000 0.0000 0.0000  4 Ni 2.79, 4 Cu 2.79
Cu 0.7500 0.7500 0.7500  4 Pm 2.79
Ni 0.2500 0.2500 0.2500  4 Pm 2.79

Summary:
ΔE to the lowest computed polymorph ... 0.3647 eV per atom
Total energy ... -4.26 eV per atom
Calculated formation energy ... 0.42 eV per atom



(17)
Entry from OQMD via LeMat-Bulk: a relaxed Pm2CuNi crystal (PBE-GGA).

a = 5.6245 Å, b = 4.4285 Å, c = 7.6113 Å
α = 90.00°, β = 109.88°, γ = 90.00°
Closest atoms and distances in Å follow each position.
Element x y z (fractional)
Pm 0.2177 0.2500 0.4333  4 Ni 2.92-3.09, 3 Cu 2.93-3.02
Pm 0.2252 0.2500 0.9279  3 Ni 2.89-3.00, 4 Cu 2.92-3.07
Pm 0.7748 0.7500 0.0721  3 Ni 2.89-3.00, 4 Cu 2.92-3.07
Pm 0.7823 0.7500 0.5667  4 Ni 2.92-3.09, 3 Cu 2.93-3.02
Cu 0.3549 0.7500 0.2154  2 Ni 2.66, 2 Pm 2.92-2.93
Cu 0.6451 0.2500 0.7846  2 Ni 2.66, 2 Pm 2.92-2.93
Ni 0.3672 0.7500 0.7163  2 Cu 2.66, 2 Pm 2.89-2.92
Ni 0.6328 0.2500 0.2837  2 Cu 2.66, 2 Pm 2.89-2.92

Summary:
Total energy ... -4.97 eV per atom
Calculated formation energy ... -0.28 eV per atom



(18)
Entry from OQMD via LeMat-Bulk: a relaxed Pr3Cu2Ni7 crystal (PBE-GGA).

a = 8.7697 Å, b = 8.7697 Å, c = 8.7697 Å
α = 33.90°, β = 33.90°, γ = 33.90°
Closest atoms and distances in Å follow each position.
Element x y z (fractional)
Pr 0.0000 0.0000 0.0000  6 Cu 2.95, 12 Ni 3.26
Pr 0.1390 0.1390 0.1390  12 Ni 2.92-3.16, 3 Pr 3.26
Pr 0.8610 0.8610 0.8610  12 Ni 2.92-3.16, 3 Pr 3.26
Cu 0.3331 0.3331 0.3331  6 Ni 2.50-2.51
Cu 0.6669 0.6669 0.6669  6 Ni 2.50-2.51
Ni 0.0827 0.5811 0.5811  2 Cu 2.50-2.51, 5 Ni 2.55-2.57
Ni 0.4189 0.4189 0.9173  2 Cu 2.50-2.51, 5 Ni 2.55-2.57
Ni 0.4189 0.9173 0.4189  2 Cu 2.50-2.51, 5 Ni 2.55-2.57
Ni 0.5000 0.5000 0.5000  6 Ni 2.57
Ni 0.5811 0.0827 0.5811  2 Cu 2.50-2.51, 5 Ni 2.55-2.57
Ni 0.5811 0.5811 0.0827  2 Cu 2.50-2.51, 5 Ni 2.55-2.57
Ni 0.9173 0.4189 0.4189  2 Cu 2.50-2.51, 5 Ni 2.55-2.57

Summary:
Total energy ... -5.35 eV per atom
Calculated formation energy ... -0.28 eV per atom



(19)
Entry from OQMD via LeMat-Bulk: a relaxed Pr3Cu4Ni2 crystal (PBE-GGA).

a = 5.7413 Å, b = 5.7413 Å, c = 8.3263 Å
α = 105.61°, β = 105.61°, γ = 42.79°
Closest atoms and distances in Å follow each position.
Element x y z (fractional)
Pr 0.0000 0.0000 0.0000  4 Ni 3.07, 8 Cu 3.08-3.16
Pr 0.3282 0.3282 0.3395  4 Ni 3.07-3.20, 8 Cu 3.10-3.20
Pr 0.6718 0.6718 0.6605  4 Ni 3.07-3.20, 8 Cu 3.10-3.20
Cu 0.0498 0.0498 0.3836  2 Ni 2.44, 1 Cu 2.47
Cu 0.2789 0.2789 0.9415  1 Ni 2.44, 2 Cu 2.46
Cu 0.7211 0.7211 0.0585  1 Ni 2.44, 2 Cu 2.46
Cu 0.9502 0.9502 0.6164  2 Ni 2.44, 1 Cu 2.47
Ni 0.3909 0.3909 0.7247  3 Cu 2.44
Ni 0.6091 0.6091 0.2753  3 Cu 2.44

Summary:
Total energy ... -4.72 eV per atom
Calculated formation energy ... -0.24 eV per atom



(20)
Entry from OQMD via LeMat-Bulk: a relaxed PrCuNi crystal (PBE-GGA).

a = 4.4809 Å, b = 4.4809 Å, c = 4.4809 Å
α = 60.00°, β = 60.00°, γ = 60.00°
Closest atoms and distances in Å follow each position.
Element x y z (fractional)
Pr 0.0000 0.0000 0.0000  4 Cu 2.74
Cu 0.7500 0.7500 0.7500  4 Ni 2.74, 4 Pr 2.74
Ni 0.5000 0.5000 0.5000  4 Cu 2.74

Summary:
Total energy ... -4.59 eV per atom
Calculated formation energy ... 0.09 eV per atom